No. 1
Here is a relaxed ZrBe3Cl crystal from the Alexandria database. Energies are from PBE-GGA.

- size of the total moment (μB/atom) = 0.000
- formation energy without anion corrections (eV per atom) = 0.97
- polymorph energy (0 for the lowest one) (meV/atom) = 0
- symmetry = No. 221

Unit cell a=4.217 b=4.217 c=4.217 alpha=90.00 beta=90.00 gamma=90.00
Element x y z (fractional)
Be1 0.000 0.500 0.000
Be2 0.000 0.000 0.500
Be3 0.500 0.000 0.000
Zr1 0.500 0.500 0.500
Cl1 0.000 0.000 0.000



No. 2
Here is a relaxed Ca2YP crystal from the Alexandria database. Energies are from PBE-GGA.

- size of the total moment (μB/atom) = 0.000
- formation enthalpy at 0 K (eV/atom) = -0.57
- symmetry = No. 71

Unit cell a=8.585 b=8.585 c=8.585 alpha=155.07 beta=151.79 gamma=38.00
Element x y z (fractional)
Ca1 0.918 0.918 0.000
Ca2 0.582 0.582 0.000
P1 0.750 0.250 0.500
Y1 0.250 0.750 0.500



No. 3
Here is a relaxed SrIn2Cl6 crystal from the Alexandria database. Energies are from PBE-GGA.

- size of the total moment (μB/atom) = 0.000
- formation energy without anion corrections (eV per atom) = -1.38
- symmetry = No. 15

Unit cell a=9.004 b=9.308 c=9.308 alpha=88.86 beta=72.30 gamma=72.30
Element x y z (fractional)
Sr1 0.250 0.067 0.933
Sr2 0.750 0.933 0.067
In1 0.261 0.574 0.764
In2 0.239 0.236 0.426
In3 0.739 0.426 0.236
In4 0.761 0.764 0.574
Cl1 0.533 0.634 0.640
Cl2 0.967 0.360 0.366
Cl3 0.467 0.366 0.360
Cl4 0.033 0.640 0.634
Cl5 0.760 0.954 0.371
Cl6 0.740 0.629 0.046
Cl7 0.240 0.046 0.629
Cl8 0.260 0.371 0.954
Cl9 0.120 0.805 0.976
Cl10 0.380 0.024 0.195
Cl11 0.880 0.195 0.024
Cl12 0.620 0.976 0.805



No. 4
Here is a relaxed ZnB2I crystal from the Alexandria database. Energies are from PBE-GGA.

- size of the total moment (μB/atom) = 0.000
- formation energy without anion corrections (eV per atom) = 1.99
- polymorph energy (0 for the lowest one) (meV/atom) = 684
- symmetry = No. 225

Unit cell a=4.423 b=4.423 c=4.423 alpha=60.00 beta=60.00 gamma=60.00
Element x y z (fractional)
I1 0.500 0.500 0.500
Zn1 0.000 0.000 0.000
B1 0.250 0.250 0.250
B2 0.750 0.750 0.750



Question: Which formula does entry 4 have?
Answer: ZnB2I